Entry 1:
4
Lattice="5.333 0.000 0.000 2.666 4.619 0.000 2.666 1.540 4.354" Properties=species:S:1:pos:R:3 comment="TbGdScHg, optimized geometry, DFT GGA-PBE" e_form_ev_per_atom=-0.092 spacegroup="No. 216" pbc="T T T"
Hg 5.333 3.079 2.177
Gd 7.999 4.619 3.266
Sc 0.000 0.000 0.000
Tb 2.666 1.540 1.089

***

Entry 2:
4
Lattice="-5.100 1.525 0.327 -3.018 -1.642 4.079 -1.512 3.464 3.763" Properties=species:S:1:pos:R:3 comment="GdYScHg, optimized geometry, DFT GGA-PBE" e_form_ev_per_atom=-0.095 spacegroup="No. 216" pbc="T T T"
Sc -7.222 2.510 6.127
Y 0.000 0.000 0.000
Gd -4.815 1.673 4.085
Hg -2.407 0.837 2.042

***

Entry 3:
4
Lattice="-4.955 -0.950 0.377 -1.595 -4.573 1.463 -2.121 -0.602 4.553" Properties=species:S:1:pos:R:3 comment="GdScZnHg, optimized geometry, DFT GGA-PBE" e_form_ev_per_atom=-0.374 spacegroup="No. 216" pbc="T T T"
Zn 0.000 0.000 0.000
Hg -4.335 -3.063 3.196
Gd -6.503 -4.594 4.795
Sc -2.168 -1.531 1.598

***

Entry 4:
4
Lattice="-3.560 1.341 -1.152 -2.722 -2.537 -1.398 -5.420 -1.674 7.943" Properties=species:S:1:pos:R:3 comment="GdHg2Se, optimized geometry, DFT GGA-PBE" raw_formation_energy_mev_per_atom=148.6 spacegroup="No. 166" pbc="T T T"
Gd 0.000 0.000 0.000
Hg -4.366 -1.270 5.157
Hg -7.335 -1.600 0.236
Se -5.851 -1.435 2.696

***

Entry 5:
4
Lattice="-2.653 4.082 1.809 -0.718 0.572 5.112 2.477 3.777 2.564" Properties=species:S:1:pos:R:3 comment="SmGdSiHg, optimized geometry, DFT GGA-PBE" raw_formation_energy_mev_per_atom=-474.0 spacegroup="No. 216" pbc="T T T"
Si -0.671 6.324 7.114
Hg -0.224 2.108 2.371
Gd -0.447 4.216 4.742
Sm 0.000 0.000 0.000

***

Entry 6:
4
Lattice="-1.422 4.856 -1.680 0.217 1.194 -5.191 -4.504 0.647 -2.777" Properties=species:S:1:pos:R:3 comment="SrGdSiHg, optimized geometry, DFT GGA-PBE" raw_formation_energy_mev_per_atom=-383.5 spacegroup="No. 216" pbc="T T T"
Gd 0.000 0.000 0.000
Si -4.282 5.022 -7.236
Sr -2.855 3.348 -4.824
Hg -1.427 1.674 -2.412

***

Entry 7:
4
Lattice="-0.866 5.072 0.237 -1.656 2.527 -4.171 -4.823 1.800 -0.175" Properties=species:S:1:pos:R:3 comment="TbGdSiHg, optimized geometry, DFT GGA-PBE" raw_formation_energy_mev_per_atom=-475.3 spacegroup="No. 216" pbc="T T T"
Hg -5.508 7.050 -3.082
Gd 0.000 0.000 0.000
Tb -3.672 4.700 -2.055
Si -1.836 2.350 -1.027

***

Entry 8:
4
Lattice="5.146 0.000 0.000 2.573 4.456 0.000 2.573 1.485 4.202" Properties=species:S:1:pos:R:3 comment="GdYSiHg, optimized geometry, DFT GGA-PBE" raw_formation_energy_mev_per_atom=-484.5 spacegroup="No. 216" pbc="T T T"
Gd 0.000 0.000 0.000
Si 7.719 4.456 3.151
Y 5.146 2.971 2.101
Hg 2.573 1.485 1.050

***

Entry 9:
4
Lattice="-2.506 -0.347 2.683 -2.623 -0.583 -2.526 1.597 -8.751 0.361" Properties=species:S:1:pos:R:3 comment="Sm2GdHg, optimized geometry, DFT GGA-PBE" e_form_ev_per_atom=-0.218 spacegroup="No. 123" de_polymorph_mev_per_atom=0 pbc="T T T"
Hg -2.565 -0.465 0.078
Sm 1.242 -6.804 0.281
Sm 0.355 -1.947 0.080
Gd -1.766 -4.840 0.259

***

Entry 10:
4
Lattice="-2.025 1.381 2.906 -4.663 -1.786 -2.400 0.494 -4.842 2.645" Properties=species:S:1:pos:R:3 comment="Sm2GdHg, optimized geometry, DFT GGA-PBE" e_form_ev_per_atom=-0.148 spacegroup="No. 123" de_polymorph_mev_per_atom=70 pbc="T T T"
Sm 0.247 -2.421 1.323
Sm -2.331 -0.893 -1.200
Gd -3.097 -2.624 1.576
Hg -1.013 0.691 1.453

***

Entry 11:
3
Lattice="3.753 0.000 0.000 0.000 5.192 0.000 0.000 -2.596 4.496" Properties=species:S:1:pos:R:3 comment="SmGdHg, optimized geometry, DFT GGA-PBE" e_form_ev_per_atom=-0.187 spacegroup="No. 156" de_polymorph_mev_per_atom=133 pbc="T T T"
Hg 2.448 2.596 1.499
Sm 3.562 0.000 0.000
Gd 1.495 0.000 2.998

***

Entry 12:
3
Lattice="3.710 0.000 0.000 0.000 3.710 0.000 -1.855 -1.855 6.362" Properties=species:S:1:pos:R:3 comment="SmGdHg, optimized geometry, DFT GGA-PBE" e_form_ev_per_atom=-0.320 spacegroup="No. 107" de_polymorph_mev_per_atom=0 pbc="T T T"
Sm 1.855 1.855 1.321
Hg 1.855 1.855 5.704
Gd 0.000 0.000 3.789

***

Entry 13:
4
Lattice="5.475 0.000 0.000 2.737 4.741 0.000 2.737 1.580 4.470" Properties=species:S:1:pos:R:3 comment="Sm2GdHg, optimized geometry, DFT GGA-PBE" e_form_ev_per_atom=-0.083 spacegroup="No. 225" de_polymorph_mev_per_atom=135 pbc="T T T"
Sm 8.212 4.741 3.352
Sm 2.737 1.580 1.117
Gd 0.000 0.000 0.000
Hg 5.475 3.161 2.235

***

Entry 14:
4
Lattice="-2.913 -0.793 2.064 -1.229 -3.439 0.185 5.095 -3.272 9.175" Properties=species:S:1:pos:R:3 comment="Sm2GdHg, optimized geometry, DFT GGA-PBE" e_form_ev_per_atom=-0.140 spacegroup="No. 166" de_polymorph_mev_per_atom=77 pbc="T T T"
Hg 0.000 0.000 0.000
Gd 0.477 -3.752 5.711
Sm 0.850 -5.667 8.743
Sm 0.103 -1.837 2.680

***

Entry 15:
3
Lattice="5.172 0.000 0.000 2.586 4.479 0.000 2.586 1.493 4.223" Properties=species:S:1:pos:R:3 comment="SmGdHg, optimized geometry, DFT GGA-PBE" e_form_ev_per_atom=-0.129 spacegroup="No. 216" de_polymorph_mev_per_atom=191 pbc="T T T"
Hg 2.586 1.493 1.056
Gd 0.000 0.000 0.000
Sm 5.172 2.986 2.111

***

Entry 16:
4
Lattice="5.366 0.000 0.000 2.683 4.647 0.000 2.683 1.549 4.381" Properties=species:S:1:pos:R:3 comment="SmGdSnHg, optimized geometry, DFT GGA-PBE" e_form_ev_per_atom=-0.594 spacegroup="No. 216" pbc="T T T"
Hg 8.049 4.647 3.286
Sm 5.366 3.098 2.191
Gd 0.000 0.000 0.000
Sn 2.683 1.549 1.095

***

Entry 17:
4
Lattice="5.463 0.000 0.000 2.731 4.731 0.000 2.731 1.577 4.460" Properties=species:S:1:pos:R:3 comment="TbSmGdHg, optimized geometry, DFT GGA-PBE" e_form_ev_per_atom=-0.068 spacegroup="No. 216" pbc="T T T"
Hg 2.731 1.577 1.115
Sm 5.463 3.154 2.230
Tb 8.194 4.731 3.345
Gd 0.000 0.000 0.000

***

Entry 18:
4
Lattice="5.111 0.000 0.000 2.555 4.426 0.000 2.555 1.475 4.173" Properties=species:S:1:pos:R:3 comment="SmGdTcHg, optimized geometry, DFT GGA-PBE" e_form_ev_per_atom=-0.098 spacegroup="No. 216" pbc="T T T"
Hg 7.666 4.426 3.130
Tc 2.555 1.475 1.043
Sm 5.111 2.951 2.086
Gd 0.000 0.000 0.000

***

Entry 19:
4
Lattice="5.387 0.000 0.000 2.693 4.665 0.000 2.693 1.555 4.398" Properties=species:S:1:pos:R:3 comment="SmGdTlHg, optimized geometry, DFT GGA-PBE" e_form_ev_per_atom=-0.445 spacegroup="No. 216" pbc="T T T"
Gd 0.000 0.000 0.000
Hg 8.080 4.665 3.299
Sm 5.387 3.110 2.199
Tl 2.693 1.555 1.100

***

Entry 20:
4
Lattice="-4.375 -3.185 0.593 0.177 -4.267 3.375 -2.823 0.092 4.653" Properties=species:S:1:pos:R:3 comment="SmGdYHg, optimized geometry, DFT GGA-PBE" e_form_ev_per_atom=-0.076 spacegroup="No. 216" pbc="T T T"
Y 0.000 0.000 0.000
Gd -1.755 -1.840 2.155
Sm -3.510 -3.680 4.311
Hg -5.266 -5.520 6.466

***

Entry 21:
4
Lattice="-5.057 -1.381 0.004 -1.526 -4.355 2.487 -2.809 0.348 4.412" Properties=species:S:1:pos:R:3 comment="SmGdZnHg, optimized geometry, DFT GGA-PBE" e_form_ev_per_atom=-0.404 spacegroup="No. 216" pbc="T T T"
Sm 0.000 0.000 0.000
Hg -7.043 -4.041 5.177
Gd -4.696 -2.694 3.451
Zn -2.348 -1.347 1.726

***

Entry 22:
4
Lattice="4.864 0.000 0.000 0.000 4.527 0.000 0.000 0.000 4.527" Properties=species:S:1:pos:R:3 comment="GdSnHg2, optimized geometry, DFT GGA-PBE" e_form_ev_per_atom=-0.429 spacegroup="No. 123" pbc="T T T"
Gd 2.432 2.263 2.263
Sn 2.432 0.000 0.000
Hg 0.000 0.000 2.263
Hg 0.000 2.263 0.000

***

Entry 23:
4
Lattice="-3.228 -0.433 -1.952 1.077 -3.500 -1.005 -3.157 -2.638 5.806" Properties=species:S:1:pos:R:3 comment="GdSnHg2, optimized geometry, DFT GGA-PBE" e_form_ev_per_atom=-0.309 spacegroup="No. 123" pbc="T T T"
Sn -2.654 -3.286 1.424
Hg -0.803 -0.671 1.476
Hg -2.354 -1.967 4.329
Gd -1.076 -1.967 -1.479

***

Entry 24:
4
Lattice="3.862 0.000 0.000 1.931 3.345 0.000 1.931 1.115 9.050" Properties=species:S:1:pos:R:3 comment="Gd2SnHg, optimized geometry, DFT GGA-PBE" e_form_ev_per_atom=-0.433 spacegroup="No. 166" pbc="T T T"
Hg 0.000 0.000 0.000
Sn 3.862 2.230 4.525
Gd 1.931 1.115 2.262
Gd 5.793 3.345 6.787

***

Entry 25:
4
Lattice="4.113 0.000 0.000 0.000 5.105 0.000 0.000 0.000 5.105" Properties=species:S:1:pos:R:3 comment="Gd2SnHg, optimized geometry, DFT GGA-PBE" e_form_ev_per_atom=-0.623 spacegroup="No. 123" pbc="T T T"
Gd 0.000 0.000 2.552
Gd 0.000 2.552 0.000
Hg 2.056 2.552 2.552
Sn 2.056 0.000 0.000

***

Entry 26:
4
Lattice="5.096 0.000 0.000 2.548 4.413 0.000 2.548 1.471 4.161" Properties=species:S:1:pos:R:3 comment="GdTiSnHg, optimized geometry, DFT GGA-PBE" e_form_ev_per_atom=-0.273 spacegroup="No. 216" pbc="T T T"
Sn 7.643 4.413 3.120
Hg 2.548 1.471 1.040
Gd 5.096 2.942 2.080
Ti 0.000 0.000 0.000

***

Entry 27:
4
Lattice="-2.838 -3.882 -2.430 -1.517 -4.364 2.771 -5.189 -0.727 1.251" Properties=species:S:1:pos:R:3 comment="GdTlSnHg, optimized geometry, DFT GGA-PBE" e_form_ev_per_atom=-0.239 spacegroup="No. 216" pbc="T T T"
Tl -7.158 -6.730 1.194
Sn 0.000 0.000 0.000
Gd -2.386 -2.243 0.398
Hg -4.772 -4.486 0.796

***

Entry 28:
4
Lattice="-0.071 0.445 -5.264 4.422 -0.801 -2.779 0.477 -4.308 -3.022" Properties=species:S:1:pos:R:3 comment="GdTmSnHg, optimized geometry, DFT GGA-PBE" e_form_ev_per_atom=-0.558 spacegroup="No. 216" pbc="T T T"
Hg 0.000 0.000 0.000
Sn 2.413 -2.332 -5.533
Tm 1.207 -1.166 -2.766
Gd 3.620 -3.498 -8.299

***

Entry 29:
4
Lattice="-0.783 -3.559 -3.874 1.690 -5.006 0.607 -3.518 -3.932 0.672" Properties=species:S:1:pos:R:3 comment="GdYSnHg, optimized geometry, DFT GGA-PBE" e_form_ev_per_atom=-0.597 spacegroup="No. 216" pbc="T T T"
Y -1.958 -9.373 -1.946
Gd -0.653 -3.124 -0.649
Hg -1.305 -6.248 -1.297
Sn 0.000 0.000 0.000

***

Entry 30:
4
Lattice="5.118 0.000 0.000 2.559 4.433 0.000 2.559 1.478 4.179" Properties=species:S:1:pos:R:3 comment="GdZnSnHg, optimized geometry, DFT GGA-PBE" e_form_ev_per_atom=-0.269 spacegroup="No. 216" pbc="T T T"
Gd 7.677 4.433 3.134
Sn 2.559 1.478 1.045
Hg 0.000 0.000 0.000
Zn 5.118 2.955 2.090

***

Entry 31:
4
Lattice="-1.096 -5.048 0.200 1.207 -3.066 -3.982 3.815 -3.457 0.463" Properties=species:S:1:pos:R:3 comment="GdZrSnHg, optimized geometry, DFT GGA-PBE" e_form_ev_per_atom=-0.348 spacegroup="No. 216" pbc="T T T"
Hg 1.963 -5.785 -1.660
Gd 0.982 -2.893 -0.830
Sn 0.000 0.000 0.000
Zr 2.945 -8.678 -2.490

***

no.,ρ (Mg/m³)
1,8.7
2,7.6
3,8.5
4,8.2
5,9.0
6,7.3
7,9.4
8,8.2
9,9.0
10,9.4
11,9.6
12,9.6
13,9.4
14,8.8
15,8.6
16,9.5
17,9.6
18,10.7
19,10.7
20,8.7
21,9.4
22,11.3
23,11.0
24,9.0
25,9.8
26,9.3
27,10.2
28,10.3
29,8.8
30,9.5
31,9.7